1.
TlNiAsIr2 at its PBEsol-relaxed geometry. Source: Alexandria, functional SCAN.

The structure belongs to space group P4/mmm (No. 123); the cell edges are 4.598, 4.598 and 4.264 Å and the angles 90.00°, 90.00° and 90.00°. The asymmetric unit holds Tl at (0.000, 0.000, 0.000), Ni at (0.500, 0.500, 0.000), As at (0.500, 0.500, 0.500) and Ir at (0.000, 0.500, 0.500).

The formation energy is 0.825 eV/atom.



2.
AsPIrO2 at its PBEsol-relaxed geometry. Source: Alexandria, functional SCAN.

The structure belongs to space group P4/mmm (No. 123); the cell edges are 3.470, 3.470 and 6.444 Å and the angles 90.00°, 90.00° and 90.00°. The asymmetric unit holds As at (0.000, 0.000, 0.000), P at (0.000, 0.000, 0.500), Ir at (0.500, 0.500, 0.500) and O at (0.000, 0.500, 0.000).

Its formation energy from raw total energies is 0.18 eV per atom.



3.
AsIrWO2 at its PBEsol-relaxed geometry. Source: Alexandria, functional SCAN.

The structure belongs to space group P4/mmm (No. 123); the cell edges are 3.713, 3.713 and 5.437 Å and the angles 90.00°, 90.00° and 90.00°. The asymmetric unit holds As at (0.000, 0.000, 0.000), Ir at (0.500, 0.500, 0.000), W at (0.500, 0.500, 0.500) and O at (0.000, 0.500, 0.500).

Its formation energy from raw total energies is -0.84 eV per atom.



Magnetization (μB/f.u.)
0.72 0.00 0.00